No. 1
CsCaLa2 | PBE | optimized geometry

Lattice parameters (Å, degrees): 6.302 6.302 6.302 60.00 60.00 60.00
Fractional positions:
Cs1 0.500 0.500 0.500
La1 0.250 0.250 0.250
La2 0.750 0.750 0.750
Ca1 0.000 0.000 0.000

Computed properties:
Mass density in g/cm³: 4.2
ΔE_f in eV/atom: 0.535
Spin magnetization in μB/atom: 0.000


No. 2
PrDy12Er2 | PBE | optimized geometry

Lattice parameters (Å, degrees): 6.412 6.412 24.763 90.00 90.00 90.00
Fractional positions:
Dy1 0.249 0.251 0.884
Dy2 0.749 0.751 0.116
Dy3 0.751 0.251 0.116
Dy4 0.331 0.831 0.439
Dy5 0.751 0.749 0.884
Dy6 0.500 0.500 0.786
Dy7 0.749 0.249 0.884
Dy8 0.169 0.669 0.561
Dy9 0.669 0.169 0.439
Dy10 0.831 0.669 0.439
Dy11 0.669 0.831 0.561
Dy12 0.000 0.000 0.337
Dy13 0.500 0.500 0.337
Dy14 0.500 0.500 0.214
Dy15 0.251 0.751 0.884
Dy16 0.500 0.500 0.663
Dy17 0.000 0.000 0.214
Dy18 0.331 0.169 0.561
Dy19 0.000 0.000 0.786
Dy20 0.831 0.331 0.561
Dy21 0.169 0.331 0.439
Dy22 0.000 0.000 0.663
Dy23 0.249 0.749 0.116
Dy24 0.251 0.249 0.116
Er1 0.500 0.000 0.262
Er2 0.000 0.500 0.262
Er3 0.000 0.500 0.738
Er4 0.500 0.000 0.738
Pr1 0.500 0.000 0.000
Pr2 0.000 0.500 0.000

Computed properties:
Mass density in g/cm³: 7.9
ΔE_f in eV/atom: 0.372
Spin magnetization in μB/atom: 0.000


No. 3
SrPbO2F | PBE | optimized geometry

Lattice parameters (Å, degrees): 4.689 4.689 4.505 90.00 90.00 90.00
Each line ends with the local moment (μB).
Fractional positions:
O1 0.000 0.500 0.000  0.43
O2 0.500 0.000 0.000  0.43
Pb1 0.500 0.500 0.500  -0.03
F1 0.000 0.000 0.500  0.00
Sr1 0.000 0.000 0.000  0.05

Computed properties:
Mass density in g/cm³: 5.8
ΔE_f (raw) in eV per atom: -1.478
Spin magnetization in μB/atom: 0.200


No. 4
Na2ThBr5 | PBE | optimized geometry

Lattice parameters (Å, degrees): 8.174 7.324 8.124 111.62 120.20 90.00
Each line ends with the local moment (μB).
Fractional positions:
Br1 0.359 0.325 0.246  0.00
Br2 0.803 0.973 0.606  0.01
Br3 0.887 0.325 0.246  0.00
Br4 0.732 0.726 0.966  0.01
Br5 0.234 0.726 0.966  0.01
Na1 0.610 0.033 0.220  0.00
Na2 0.140 0.655 0.280  0.03
Th1 0.012 0.015 0.024  0.43

Computed properties:
Mass density in g/cm³: 3.0
ΔE_f (raw) in eV per atom: -1.405
Spin magnetization in μB/atom: 0.125


No. 5
Al2Ag | PBE | optimized geometry

Lattice parameters (Å, degrees): 3.647 3.647 4.733 112.66 112.66 90.00
Fractional positions:
Ag1 0.500 0.500 0.000
Al1 0.166 0.166 0.333
Al2 0.834 0.834 0.667

Computed properties:
Mass density in g/cm³: 5.1
ΔE_f in eV/atom: 0.056
Spin magnetization in μB/atom: 0.000


No. 6
LaDyY5Er2 | PBE | optimized geometry

Lattice parameters (Å, degrees): 5.639 10.391 10.515 90.00 90.00 105.74
Fractional positions:
Y1 0.383 0.765 0.024
Y2 0.984 0.967 0.523
Y3 0.722 0.444 0.821
Y4 0.297 0.594 0.708
Y5 0.016 0.033 0.023
Y6 0.278 0.556 0.321
Y7 0.478 0.957 0.735
Y8 0.617 0.235 0.524
Y9 0.703 0.406 0.208
Y10 0.522 0.043 0.235
Er1 0.112 0.225 0.318
Er2 0.888 0.776 0.234
Er3 0.888 0.775 0.818
Er4 0.112 0.224 0.734
Dy1 0.803 0.607 0.514
Dy2 0.197 0.393 0.014
La1 0.583 0.166 0.946
La2 0.417 0.834 0.446

Computed properties:
Mass density in g/cm³: 6.1
ΔE_f in eV/atom: 0.167
Spin magnetization in μB/atom: 0.000


No. 7
CsSnTe3Au | PBE | optimized geometry

Lattice parameters (Å, degrees): 5.419 8.947 9.778 92.64 90.00 107.63
Fractional positions:
Te1 0.119 0.238 0.696
Te2 0.495 0.990 0.291
Te3 0.505 0.010 0.709
Te4 0.881 0.762 0.304
Te5 0.802 0.604 0.706
Te6 0.198 0.396 0.294
Sn1 0.645 0.290 0.507
Sn2 0.355 0.710 0.493
Cs1 0.350 0.701 0.984
Cs2 0.650 0.299 0.016
Au1 0.040 0.079 0.298
Au2 0.960 0.921 0.702

Computed properties:
Mass density in g/cm³: 6.1
ΔE_f (raw) in eV per atom: -0.342
Spin magnetization in μB/atom: 0.000


No. 8
Tc2MoRu | PBE | optimized geometry

Lattice parameters (Å, degrees): 3.903 3.886 3.886 90.00 90.00 90.00
Fractional positions:
Ru1 0.500 0.000 0.500
Tc1 0.000 0.000 0.000
Tc2 0.000 0.500 0.500
Mo1 0.500 0.500 0.000

Computed properties:
Mass density in g/cm³: 11.1
Energy above the lowest structure with this stoichiometry in meV per atom: 46
ΔE_f in eV/atom: 0.062
Spin magnetization in μB/atom: 0.000


No. 9
Ba2TmPb2O6 | PBE | optimized geometry

Lattice parameters (Å, degrees): 6.346 6.346 7.272 64.13 64.13 60.00
Each line ends with the local moment (μB).
Fractional positions:
O1 0.780 0.235 0.750  0.09
O2 0.235 0.235 0.750  0.09
O3 0.235 0.780 0.750  0.09
O4 0.220 0.765 0.250  0.09
O5 0.765 0.220 0.250  0.09
O6 0.765 0.765 0.250  0.09
Tm1 0.000 0.000 0.000  -0.02
Pb1 0.626 0.626 0.121  0.08
Pb2 0.374 0.374 0.879  0.08
Ba1 0.810 0.810 0.571  0.02
Ba2 0.190 0.190 0.429  0.02

Computed properties:
Mass density in g/cm³: 7.2
ΔE_f (raw) in eV per atom: -2.008
Spin magnetization in μB/atom: 0.088


No. 10
Na2VHgIr | PBE | optimized geometry

Lattice parameters (Å, degrees): 5.539 4.565 5.539 90.00 90.00 90.00
Each line ends with the local moment (μB).
Fractional positions:
Na1 0.000 0.000 0.500  0.00
Na2 0.500 0.000 0.000  0.00
Hg1 0.500 0.500 0.500  0.01
V1 0.000 0.500 0.000  1.99
Ir1 0.000 0.000 0.000  -0.17

Computed properties:
Mass density in g/cm³: 5.8
ΔE_f in eV/atom: 0.624
Spin magnetization in μB/atom: 0.471


No. 11
Li7GaPd4 | PBE | optimized geometry

Lattice parameters (Å, degrees): 4.669 8.755 5.742 106.22 66.01 74.54
Fractional positions:
Li1 0.500 0.000 0.000
Li2 0.995 0.608 0.403
Li3 0.721 0.416 0.142
Li4 0.005 0.392 0.597
Li5 0.279 0.584 0.858
Li6 0.827 0.913 0.433
Li7 0.173 0.087 0.567
Ga1 0.000 0.000 0.000
Pd1 0.632 0.724 0.013
Pd2 0.368 0.276 0.987
Pd3 0.350 0.757 0.544
Pd4 0.650 0.243 0.456

Computed properties:
Mass density in g/cm³: 4.9
ΔE_f in eV/atom: -0.261
Spin magnetization in μB/atom: 0.000


No. 12
Mn2HgC2 | PBE | optimized geometry

Lattice parameters (Å, degrees): 7.061 7.061 2.987 90.00 90.00 90.00
Each line ends with the local moment (μB).
Fractional positions:
Hg1 0.000 0.000 0.000  0.06
Hg2 0.500 0.500 0.000  0.06
C1 0.574 0.926 0.500  -0.04
C2 0.926 0.426 0.500  -0.04
C3 0.426 0.074 0.500  -0.04
C4 0.074 0.574 0.500  -0.04
Mn1 0.123 0.377 0.000  3.03
Mn2 0.377 0.877 0.000  3.03
Mn3 0.623 0.123 0.000  3.03
Mn4 0.877 0.623 0.000  3.03

Computed properties:
Mass density in g/cm³: 7.5
Energy above the lowest structure with this stoichiometry in meV per atom: 316
ΔE_f in eV/atom: 1.030
Spin magnetization in μB/atom: 1.296